Record 1
DFT (PBE) results for crystalline ZnCuSe2 at its relaxed geometry. Values from VASP.

Properties
Formation energy (no corrections), meV per atom: -246
Raw total energy, Ha/atom: -0.1224
Space group: No. 14
Calculated density, g/cm3: 5.78

Quantum ESPRESSO input file:
```
&SYSTEM
  ibrav = 0, nat = 16, ntyp = 3
/
ATOMIC_SPECIES
Zn 65.41 Zn.upf
Cu 63.55 Cu.upf
Se 78.96 Se.upf
CELL_PARAMETERS angstrom
14.426 0.000 5.733
0.000 3.829 0.000
-3.943 0.000 4.396
ATOMIC_POSITIONS angstrom
Zn 4.404 2.880 1.767
Zn 6.078 0.949 8.362
Zn 0.837 0.966 3.298
Zn 9.645 2.864 6.832
Cu 5.919 0.956 5.750
Cu 4.564 2.873 4.380
Cu 9.805 2.871 9.444
Cu 0.678 0.959 0.685
Se 10.947 0.955 8.391
Se -0.464 2.874 1.738
Se 4.777 2.870 6.803
Se 5.706 0.960 3.327
Se -0.862 0.965 5.221
Se 11.344 2.864 4.909
Se 2.160 2.880 4.240
Se 8.323 0.950 5.889
```

Record 2
DFT (PBE) results for crystalline ZnCuSe2 at its relaxed geometry. Values from VASP.

Properties
Formation energy (no corrections), meV per atom: -299
Raw total energy, Ha/atom: -0.1244
Space group: No. 8
Calculated density, g/cm3: 5.71

Quantum ESPRESSO input file:
```
&SYSTEM
  ibrav = 0, nat = 4, ntyp = 3
/
ATOMIC_SPECIES
Cu 63.55 Cu.upf
Se 78.96 Se.upf
Zn 65.41 Zn.upf
CELL_PARAMETERS angstrom
3.996 -0.155 0.491
2.299 3.272 0.491
2.035 1.008 6.528
ATOMIC_POSITIONS angstrom
Cu 5.323 2.635 6.543
Se 7.437 3.682 6.125
Se 3.086 1.528 2.412
Zn 4.977 2.464 3.698
```

Record 3
DFT (PBE) results for crystalline Zn3CuSe at its relaxed geometry. Values from VASP.

Properties
Formation energy (no corrections), meV per atom: 688
Raw total energy, Ha/atom: -0.0585
Space group: No. 221
Calculated density, g/cm3: 4.60
Energy above the lowest structure with this stoichiometry, meV/atom: 404.4

Quantum ESPRESSO input file:
```
&SYSTEM
  ibrav = 0, nat = 5, ntyp = 3
/
ATOMIC_SPECIES
Zn 65.41 Zn.upf
Cu 63.55 Cu.upf
Se 78.96 Se.upf
CELL_PARAMETERS angstrom
-3.609 -2.815 -1.923
2.304 0.050 -4.397
2.513 -4.089 1.270
ATOMIC_POSITIONS angstrom
Zn 1.152 0.025 -2.198
Zn 1.256 -2.044 0.635
Zn -1.804 -1.408 -0.961
Cu 0.604 -3.427 -2.525
Se 0.000 0.000 0.000
```

Record 4
DFT (PBE) results for crystalline ZnCuSe2 at its relaxed geometry. Values from VASP.

Properties
Formation energy (no corrections), meV per atom: -188
Raw total energy, Ha/atom: -0.1203
Space group: No. 62
Calculated density, g/cm3: 5.96

Quantum ESPRESSO input file:
```
&SYSTEM
  ibrav = 0, nat = 16, ntyp = 3
/
ATOMIC_SPECIES
Zn 65.41 Zn.upf
Cu 63.55 Cu.upf
Se 78.96 Se.upf
CELL_PARAMETERS angstrom
-0.122 6.174 2.048
-3.734 0.017 -0.273
-0.927 -4.137 12.418
ATOMIC_POSITIONS angstrom
Zn -1.353 1.044 5.735
Zn -3.639 -3.284 11.055
Zn -3.430 1.009 8.457
Zn -1.144 5.338 3.137
Cu -1.521 -1.958 7.837
Cu -2.961 1.996 2.114
Cu -3.262 4.011 6.355
Cu -1.822 0.057 12.078
Se -1.496 2.739 7.785
Se -2.892 4.439 1.315
Se -3.287 -0.685 6.407
Se -1.891 -2.386 12.877
Se -1.649 -0.284 9.693
Se -3.008 -0.458 2.601
Se -3.134 2.338 4.499
Se -1.775 2.511 11.591
```

Record 5
DFT (PBE) results for crystalline ZnCu2Se3 at its relaxed geometry. Values from VASP.

Properties
Formation energy (no corrections), meV per atom: -295
Raw total energy, Ha/atom: -0.1329
Space group: No. 9
Calculated density, g/cm3: 5.47

Quantum ESPRESSO input file:
```
&SYSTEM
  ibrav = 0, nat = 12, ntyp = 3
/
ATOMIC_SPECIES
Zn 65.41 Zn.upf
Cu 63.55 Cu.upf
Se 78.96 Se.upf
CELL_PARAMETERS angstrom
6.730 0.005 -1.156
-3.644 5.657 -1.156
0.005 0.010 6.839
ATOMIC_POSITIONS angstrom
Zn -2.720 5.245 2.283
Zn 5.879 0.553 -1.136
Cu 2.439 2.445 -1.131
Cu 4.155 1.497 2.297
Cu 0.734 3.380 2.288
Cu -0.998 4.298 -1.123
Se -0.466 1.300 2.334
Se 1.348 0.318 5.754
Se 4.513 2.258 4.533
Se -0.552 5.011 1.114
Se 1.082 4.035 4.555
Se 2.801 3.092 1.135
```

Record 6
DFT (PBE) results for crystalline ZnCuSe2 at its relaxed geometry. Values from VASP.

Properties
Formation energy (no corrections), meV per atom: 1
Raw total energy, Ha/atom: -0.1133
Space group: No. 65
Calculated density, g/cm3: 4.53

Quantum ESPRESSO input file:
```
&SYSTEM
  ibrav = 0, nat = 4, ntyp = 3
/
ATOMIC_SPECIES
Cu 63.55 Cu.upf
Se 78.96 Se.upf
Zn 65.41 Zn.upf
CELL_PARAMETERS angstrom
4.635 -0.275 0.000
-3.095 3.461 0.000
0.000 0.000 6.922
ATOMIC_POSITIONS angstrom
Cu 0.770 1.593 5.191
Se 0.000 0.000 6.860
Se 0.000 0.000 3.523
Zn 0.770 1.593 1.730
```

Record 7
DFT (PBE) results for crystalline Zr2CuSe at its relaxed geometry. Values from VASP.

Properties
Formation energy (no corrections), meV per atom: 255
Raw total energy, Ha/atom: -0.2173
Space group: No. 216
Calculated density, g/cm3: 6.99

Quantum ESPRESSO input file:
```
&SYSTEM
  ibrav = 0, nat = 4, ntyp = 3
/
ATOMIC_SPECIES
Cu 63.55 Cu.upf
Se 78.96 Se.upf
Zr 91.22 Zr.upf
CELL_PARAMETERS angstrom
-2.781 0.298 -3.876
1.821 -0.916 -4.324
-1.275 -3.970 -2.338
ATOMIC_POSITIONS angstrom
Cu -1.118 -2.294 -5.269
Se -1.677 -3.441 -7.904
Zr 0.000 0.000 0.000
Zr -0.559 -1.147 -2.635
```

Record 8
DFT (PBE) results for crystalline ZrCuSe at its relaxed geometry. Values from VASP.

Properties
Formation energy (no corrections), meV per atom: -448
Raw total energy, Ha/atom: -0.2140
Space group: No. 107
Calculated density, g/cm3: 7.37
Energy above the lowest structure with this stoichiometry, meV/atom: 265.3

Quantum ESPRESSO input file:
```
&SYSTEM
  ibrav = 0, nat = 3, ntyp = 3
/
ATOMIC_SPECIES
Cu 63.55 Cu.upf
Se 78.96 Se.upf
Zr 91.22 Zr.upf
CELL_PARAMETERS angstrom
5.188 -0.018 0.020
4.098 3.183 0.017
1.091 0.376 3.178
ATOMIC_POSITIONS angstrom
Cu 9.231 3.147 0.058
Se 3.889 1.329 2.106
Zr 6.543 2.232 1.088
```